# 1
YMgMn2 | PBE | relaxed

As for the total DFT energy (no corrections): -25.8 eV per formula unit. Its total magnetization is 1.09 μB per cell.

CIF file:
```
data_YMgMn2
_symmetry_space_group_name_H-M 'P 4 m m'
_symmetry_Int_Tables_number 99
_cell_length_a 3.161
_cell_length_b 3.161
_cell_length_c 7.741
_cell_angle_alpha 90.00
_cell_angle_beta 90.00
_cell_angle_gamma 90.00
loop_
_symmetry_equiv_pos_as_xyz
'x,y,z'
'-y,x,z'
'-x,-y,z'
'y,-x,z'
'-x,y,z'
'y,x,z'
'x,-y,z'
'-y,-x,z'
loop_
_atom_site_label
_atom_site_type_symbol
_atom_site_fract_x
_atom_site_fract_y
_atom_site_fract_z
_atom_site_occupancy
Y1 Y 0.000 0.000 0.000 1
Mg1 Mg 0.500 0.500 0.343 1
Mn1 Mn 0.000 0.000 0.591 1
Mn2 Mn 0.500 0.500 0.732 1
```

# 2
CuRhBr2 | PBE | relaxed

The value obtained for the energy relative to the elements, uncorrected is 0.167 eV/atom. Its total magnetization is 0.00 μB per cell. The relative energy among the computed polymorphs is 179 meV per atom.

CIF file:
```
data_CuRhBr2
_symmetry_space_group_name_H-M 'A m m 2'
_symmetry_Int_Tables_number 38
_cell_length_a 4.693
_cell_length_b 4.972
_cell_length_c 6.880
_cell_angle_alpha 90.00
_cell_angle_beta 90.00
_cell_angle_gamma 90.00
loop_
_symmetry_equiv_pos_as_xyz
'x,y,z'
'-x,-y,z'
'-x,y,z'
'x,-y,z'
'x,y+1/2,z+1/2'
'-x,-y+1/2,z+1/2'
'-x,y+1/2,z+1/2'
'x,-y+1/2,z+1/2'
loop_
_atom_site_label
_atom_site_type_symbol
_atom_site_fract_x
_atom_site_fract_y
_atom_site_fract_z
_atom_site_occupancy
Cu1 Cu 0.000 0.000 0.000 1
Rh1 Rh 0.500 0.000 0.186 1
Br1 Br 0.000 0.000 0.358 1
Br2 Br 0.500 0.000 0.785 1
```

# 3
RbLa2Sn3Se6 | PBE | relaxed

The value obtained for the energy relative to the elements, uncorrected is -1.061 eV/atom. Its total magnetization is 0.00 μB per cell.

CIF file:
```
data_RbLa2Sn3Se6
_symmetry_space_group_name_H-M 'C 1 2/m 1'
_symmetry_Int_Tables_number 12
_cell_length_a 19.125
_cell_length_b 4.541
_cell_length_c 8.697
_cell_angle_alpha 90.00
_cell_angle_beta 99.20
_cell_angle_gamma 90.00
loop_
_symmetry_equiv_pos_as_xyz
'x,y,z'
'-x,-y,-z'
'-x,y,-z'
'x,-y,z'
'x+1/2,y+1/2,z'
'-x+1/2,-y+1/2,-z'
'-x+1/2,y+1/2,-z'
'x+1/2,-y+1/2,z'
loop_
_atom_site_label
_atom_site_type_symbol
_atom_site_fract_x
_atom_site_fract_y
_atom_site_fract_z
_atom_site_occupancy
Rb1 Rb 0.000 0.000 0.000 1
La1 La 0.170 0.500 0.334 1
Sn1 Sn 0.000 0.000 0.500 1
Sn2 Sn 0.165 0.500 0.853 1
Se1 Se 0.018 0.500 0.282 1
Se2 Se 0.167 0.000 0.573 1
Se3 Se 0.185 0.000 0.095 1
```

# 4
SrZr4Se | PBE | relaxed

The value obtained for the energy relative to the elements, uncorrected is 0.421 eV/atom. Its total magnetization is 0.00 μB per cell.

CIF file:
```
data_SrZr4Se
_symmetry_space_group_name_H-M 'F -4 3 m'
_symmetry_Int_Tables_number 216
_symmetry_space_group_name_Hall 'F -4 2 3'
_cell_length_a 8.602
_cell_length_b 8.602
_cell_length_c 8.602
_cell_angle_alpha 90.00
_cell_angle_beta 90.00
_cell_angle_gamma 90.00
loop_
_atom_site_label
_atom_site_type_symbol
_atom_site_fract_x
_atom_site_fract_y
_atom_site_fract_z
_atom_site_occupancy
Sr1 Sr 0.000 0.000 0.000 1
Zr1 Zr 0.130 0.130 0.630 1
Se1 Se 0.250 0.250 0.250 1
```

# 5
TbNd2Er | PBE | relaxed

Its total magnetization is 0.00 μB per cell. The relative energy among the computed polymorphs is 6 meV per atom.

CIF file:
```
data_TbNd2Er
_symmetry_space_group_name_H-M 'R 3 m'
_symmetry_Int_Tables_number 160
_symmetry_space_group_name_Hall 'R 3 -2"'
_cell_length_a 3.6232
_cell_length_b 3.6232
_cell_length_c 35.0814
_cell_angle_alpha 90.00
_cell_angle_beta 90.00
_cell_angle_gamma 120.00
loop_
_atom_site_label
_atom_site_type_symbol
_atom_site_fract_x
_atom_site_fract_y
_atom_site_fract_z
_atom_site_occupancy
Tb1 Tb 0.0000 0.0000 0.0000 1
Nd1 Nd 0.0000 0.0000 0.2495 1
Nd2 Nd 0.0000 0.0000 0.4167 1
Er1 Er 0.0000 0.0000 0.8326 1
```

# 6
LiSmHo2 | PBE | relaxed

Its total magnetization is 0.00 μB per cell. The relative energy among the computed polymorphs is 0 meV per atom.

CIF file:
```
data_LiSmHo2
_symmetry_space_group_name_H-M 'P 4/m m m'
_symmetry_Int_Tables_number 123
_symmetry_space_group_name_Hall '-P 4 2'
_cell_length_a 3.618
_cell_length_b 3.618
_cell_length_c 8.810
_cell_angle_alpha 90.00
_cell_angle_beta 90.00
_cell_angle_gamma 90.00
loop_
_atom_site_label
_atom_site_type_symbol
_atom_site_fract_x
_atom_site_fract_y
_atom_site_fract_z
_atom_site_occupancy
Li1 Li 0.000 0.000 0.000 1
Sm1 Sm 0.000 0.000 0.500 1
Ho1 Ho 0.500 0.500 0.218 1
```

# 7
CuNiBr4 | PBE | relaxed

The value obtained for the energy relative to the elements, uncorrected is 1.195 eV/atom. Its total magnetization is 2.91 μB per cell.

CIF file:
```
data_CuNiBr4
_symmetry_space_group_name_H-M 'F -4 3 m'
_symmetry_Int_Tables_number 216
_symmetry_space_group_name_Hall 'F -4 2 3'
_cell_length_a 8.722
_cell_length_b 8.722
_cell_length_c 8.722
_cell_angle_alpha 90.00
_cell_angle_beta 90.00
_cell_angle_gamma 90.00
loop_
_atom_site_label
_atom_site_type_symbol
_atom_site_fract_x
_atom_site_fract_y
_atom_site_fract_z
_atom_site_occupancy
Cu1 Cu 0.000 0.000 0.000 1
Ni1 Ni 0.250 0.250 0.750 1
Br1 Br 0.125 0.125 0.375 1
```

# 8
Na2CrPbCl8 | PBE | relaxed

The value obtained for the energy relative to the elements, uncorrected is -1.215 eV/atom. Its total magnetization is 2.17 μB per cell.

CIF file:
```
data_Na2CrPbCl8
_symmetry_space_group_name_H-M 'P 1 2/m 1'
_symmetry_Int_Tables_number 10
_cell_length_a 6.178
_cell_length_b 8.103
_cell_length_c 6.479
_cell_angle_alpha 90.00
_cell_angle_beta 93.28
_cell_angle_gamma 90.00
loop_
_symmetry_equiv_pos_as_xyz
'x,y,z'
'-x,-y,-z'
'-x,y,-z'
'x,-y,z'
loop_
_atom_site_label
_atom_site_type_symbol
_atom_site_fract_x
_atom_site_fract_y
_atom_site_fract_z
_atom_site_occupancy
Na1 Na 0.000 0.233 0.000 1
Cr1 Cr 0.500 0.000 0.500 1
Pb1 Pb 0.500 0.500 0.500 1
Cl1 Cl 0.213 0.500 0.166 1
Cl2 Cl 0.270 0.000 0.202 1
Cl3 Cl 0.289 0.206 0.644 1
```

# 9
KCuP2S | PBE | relaxed

The value obtained for the energy relative to the elements, uncorrected is 0.341 eV/atom. Its total magnetization is 0.65 μB per cell. The relative energy among the computed polymorphs is 0 meV per atom.

CIF file:
```
data_KCuP2S
_symmetry_space_group_name_H-M 'P 4/m m m'
_symmetry_Int_Tables_number 123
_symmetry_space_group_name_Hall '-P 4 2'
_cell_length_a 4.576
_cell_length_b 4.576
_cell_length_c 5.039
_cell_angle_alpha 90.00
_cell_angle_beta 90.00
_cell_angle_gamma 90.00
loop_
_atom_site_label
_atom_site_type_symbol
_atom_site_fract_x
_atom_site_fract_y
_atom_site_fract_z
_atom_site_occupancy
K1 K 0.000 0.000 0.000 1
Cu1 Cu 0.500 0.500 0.500 1
P1 P 0.000 0.500 0.500 1
S1 S 0.500 0.500 0.000 1
```

# 10
TbSmSnSe | PBE | relaxed

The value obtained for the energy relative to the elements, uncorrected is -1.275 eV/atom. Its total magnetization is 0.00 μB per cell.

CIF file:
```
data_TbSmSnSe
_symmetry_space_group_name_H-M 'P 4/m m m'
_symmetry_Int_Tables_number 123
_symmetry_space_group_name_Hall '-P 4 2'
_cell_length_a 4.299
_cell_length_b 4.299
_cell_length_c 6.109
_cell_angle_alpha 90.00
_cell_angle_beta 90.00
_cell_angle_gamma 90.00
loop_
_atom_site_label
_atom_site_type_symbol
_atom_site_fract_x
_atom_site_fract_y
_atom_site_fract_z
_atom_site_occupancy
Tb1 Tb 0.000 0.000 0.000 1
Sm1 Sm 0.500 0.500 0.500 1
Sn1 Sn 0.500 0.500 0.000 1
Se1 Se 0.000 0.000 0.500 1
```

# 11
RbSr2Zn | PBE | relaxed

As for the total DFT energy (no corrections): -5.4 eV per formula unit. Its total magnetization is 0.00 μB per cell.

CIF file:
```
data_RbSr2Zn
_symmetry_space_group_name_H-M 'R -3 m'
_symmetry_Int_Tables_number 166
_symmetry_space_group_name_Hall '-R 3 2"'
_cell_length_a 4.5703
_cell_length_b 4.5703
_cell_length_c 37.6502
_cell_angle_alpha 90.00
_cell_angle_beta 90.00
_cell_angle_gamma 120.00
loop_
_atom_site_label
_atom_site_type_symbol
_atom_site_fract_x
_atom_site_fract_y
_atom_site_fract_z
_atom_site_occupancy
Rb1 Rb 0.0000 0.0000 0.0000 1
Sr1 Sr 0.0000 0.0000 0.1184 1
Zn1 Zn 0.0000 0.0000 0.5000 1
```

# 12
NbAl | PBE | relaxed

As for the total DFT energy (no corrections): -14.3 eV per formula unit. Its total magnetization is 0.00 μB per cell.

CIF file:
```
data_NbAl
_symmetry_space_group_name_H-M 'P n m a'
_symmetry_Int_Tables_number 62
_cell_length_a 7.210
_cell_length_b 3.516
_cell_length_c 10.846
_cell_angle_alpha 90.00
_cell_angle_beta 90.00
_cell_angle_gamma 90.00
loop_
_symmetry_equiv_pos_as_xyz
'x,y,z'
'-x,-y,-z'
'-x+1/2,-y,z+1/2'
'x+1/2,y,-z+1/2'
'x+1/2,-y+1/2,-z+1/2'
'-x+1/2,y+1/2,z+1/2'
'-x,y+1/2,-z'
'x,-y+1/2,z'
loop_
_atom_site_label
_atom_site_type_symbol
_atom_site_fract_x
_atom_site_fract_y
_atom_site_fract_z
_atom_site_occupancy
Nb1 Nb 0.051 0.250 0.096 1
Nb2 Nb 0.229 0.750 0.299 1
Al1 Al 0.068 0.750 0.668 1
Al2 Al 0.193 0.250 0.506 1
```

# 13
CuPt2Pb | PBE | relaxed

As for the total DFT energy (no corrections): -19.3 eV per formula unit. Its total magnetization is 0.00 μB per cell.

CIF file:
```
data_CuPt2Pb
_symmetry_space_group_name_H-M 'R -3 m'
_symmetry_Int_Tables_number 166
_symmetry_space_group_name_Hall '-R 3 2"'
_cell_length_a 2.9729
_cell_length_b 2.9729
_cell_length_c 27.9351
_cell_angle_alpha 90.00
_cell_angle_beta 90.00
_cell_angle_gamma 120.00
loop_
_atom_site_label
_atom_site_type_symbol
_atom_site_fract_x
_atom_site_fract_y
_atom_site_fract_z
_atom_site_occupancy
Cu1 Cu 0.0000 0.0000 0.0000 1
Pt1 Pt 0.0000 0.0000 0.2615 1
Pb1 Pb 0.0000 0.0000 0.5000 1
```

# 14
YBiTe2N | PBE | relaxed

The value obtained for the energy relative to the elements, uncorrected is 0.129 eV/atom. Its total magnetization is 1.55 μB per cell. The relative energy among the computed polymorphs is 0 meV per atom.

CIF file:
```
data_YBiTe2N
_symmetry_space_group_name_H-M 'P 4/m m m'
_symmetry_Int_Tables_number 123
_symmetry_space_group_name_Hall '-P 4 2'
_cell_length_a 5.978
_cell_length_b 5.978
_cell_length_c 4.282
_cell_angle_alpha 90.00
_cell_angle_beta 90.00
_cell_angle_gamma 90.00
loop_
_atom_site_label
_atom_site_type_symbol
_atom_site_fract_x
_atom_site_fract_y
_atom_site_fract_z
_atom_site_occupancy
Y1 Y 0.000 0.000 0.000 1
Bi1 Bi 0.500 0.500 0.500 1
Te1 Te 0.000 0.500 0.000 1
N1 N 0.000 0.000 0.500 1
```

# 15
Er5Tm2Sb4 | PBE | relaxed

The value obtained for the energy relative to the elements, uncorrected is -0.416 eV/atom. Its total magnetization is 0.00 μB per cell.

CIF file:
```
data_Er5Tm2Sb4
_symmetry_space_group_name_H-M 'C 1 2/m 1'
_symmetry_Int_Tables_number 12
_cell_length_a 25.568
_cell_length_b 3.615
_cell_length_c 7.212
_cell_angle_alpha 90.00
_cell_angle_beta 91.66
_cell_angle_gamma 90.00
loop_
_symmetry_equiv_pos_as_xyz
'x,y,z'
'-x,-y,-z'
'-x,y,-z'
'x,-y,z'
'x+1/2,y+1/2,z'
'-x+1/2,-y+1/2,-z'
'-x+1/2,y+1/2,-z'
'x+1/2,-y+1/2,z'
loop_
_atom_site_label
_atom_site_type_symbol
_atom_site_fract_x
_atom_site_fract_y
_atom_site_fract_z
_atom_site_occupancy
Er1 Er 0.000 0.000 0.000 1
Er2 Er 0.091 0.500 0.699 1
Er3 Er 0.141 0.500 0.164 1
Tm1 Tm 0.237 0.500 0.786 1
Sb1 Sb 0.033 0.500 0.319 1
Sb2 Sb 0.173 0.000 0.504 1
```

# 16
PPb | PBE | relaxed

As for the total DFT energy (no corrections): -8.9 eV per formula unit. Its total magnetization is 0.00 μB per cell.

CIF file:
```
data_PPb
_symmetry_space_group_name_H-M 'C 1 2/m 1'
_symmetry_Int_Tables_number 12
_cell_length_a 9.773
_cell_length_b 4.331
_cell_length_c 5.665
_cell_angle_alpha 90.00
_cell_angle_beta 99.57
_cell_angle_gamma 90.00
loop_
_symmetry_equiv_pos_as_xyz
'x,y,z'
'-x,-y,-z'
'-x,y,-z'
'x,-y,z'
'x+1/2,y+1/2,z'
'-x+1/2,-y+1/2,-z'
'-x+1/2,y+1/2,-z'
'x+1/2,-y+1/2,z'
loop_
_atom_site_label
_atom_site_type_symbol
_atom_site_fract_x
_atom_site_fract_y
_atom_site_fract_z
_atom_site_occupancy
P1 P 0.103 0.000 0.456 1
Pb1 Pb 0.162 0.500 0.183 1
```

# 17
Nd2Mg5Zn12 | PBE | relaxed

As for the total DFT energy (no corrections): -36.6 eV per formula unit. Its total magnetization is 0.00 μB per cell.

CIF file:
```
data_Nd2Mg5Zn12
_symmetry_space_group_name_H-M 'R -3 m'
_symmetry_Int_Tables_number 166
_symmetry_space_group_name_Hall '-R 3 2"'
_cell_length_a 9.3282
_cell_length_b 9.3282
_cell_length_c 13.8329
_cell_angle_alpha 90.00
_cell_angle_beta 90.00
_cell_angle_gamma 120.00
loop_
_atom_site_label
_atom_site_type_symbol
_atom_site_fract_x
_atom_site_fract_y
_atom_site_fract_z
_atom_site_occupancy
Nd1 Nd 0.0000 0.0000 0.1581 1
Mg1 Mg 0.0000 0.0000 0.3996 1
Mg2 Mg 0.0000 0.5000 0.0000 1
Zn1 Zn 0.0000 0.2943 0.5000 1
Zn2 Zn 0.0155 0.5077 0.6507 1
```

# 18
Tb9Pr4Dy11 | PBE | relaxed

As for the total DFT energy (no corrections): -109.9 eV per formula unit. Its total magnetization is 0.00 μB per cell.

CIF file:
```
data_Tb9Pr4Dy11
_symmetry_space_group_name_H-M 'C m m m'
_symmetry_Int_Tables_number 65
_symmetry_space_group_name_Hall '-C 2 2'
_cell_length_a 16.784
_cell_length_b 25.207
_cell_length_c 3.709
_cell_angle_alpha 90.00
_cell_angle_beta 90.00
_cell_angle_gamma 90.00
loop_
_atom_site_label
_atom_site_type_symbol
_atom_site_fract_x
_atom_site_fract_y
_atom_site_fract_z
_atom_site_occupancy
Tb1 Tb 0.000 0.000 0.000 1
Tb2 Tb 0.102 0.237 0.000 1
Tb3 Tb 0.138 0.427 0.000 1
Pr1 Pr 0.154 0.100 0.000 1
Dy1 Dy 0.000 0.136 0.500 1
Dy2 Dy 0.000 0.341 0.500 1
Dy3 Dy 0.000 0.500 0.500 1
Dy4 Dy 0.214 0.000 0.500 1
Dy5 Dy 0.226 0.319 0.500 1
```

# 19
Ca2InPd | PBE | relaxed

As for the total DFT energy (no corrections): -13.0 eV per formula unit. Its total magnetization is 0.00 μB per cell.

CIF file:
```
data_Ca2InPd
_symmetry_space_group_name_H-M 'I -4 2 d'
_symmetry_Int_Tables_number 122
_symmetry_space_group_name_Hall 'I -4 2bw'
_cell_length_a 8.311
_cell_length_b 8.311
_cell_length_c 6.489
_cell_angle_alpha 90.00
_cell_angle_beta 90.00
_cell_angle_gamma 90.00
loop_
_atom_site_label
_atom_site_type_symbol
_atom_site_fract_x
_atom_site_fract_y
_atom_site_fract_z
_atom_site_occupancy
Ca1 Ca 0.201 0.250 0.125 1
In1 In 0.000 0.000 0.500 1
Pd1 Pd 0.000 0.000 0.000 1
```

# 20
Nb2CoB6 | PBE | relaxed

As for the total DFT energy (no corrections): -71.1 eV per formula unit. Its total magnetization is 0.00 μB per cell.

CIF file:
```
data_Nb2CoB6
_symmetry_space_group_name_H-M 'C 1 2/m 1'
_symmetry_Int_Tables_number 12
_cell_length_a 6.461
_cell_length_b 6.635
_cell_length_c 7.905
_cell_angle_alpha 90.00
_cell_angle_beta 101.89
_cell_angle_gamma 90.00
loop_
_symmetry_equiv_pos_as_xyz
'x,y,z'
'-x,-y,-z'
'-x,y,-z'
'x,-y,z'
'x+1/2,y+1/2,z'
'-x+1/2,-y+1/2,-z'
'-x+1/2,y+1/2,-z'
'x+1/2,-y+1/2,z'
loop_
_atom_site_label
_atom_site_type_symbol
_atom_site_fract_x
_atom_site_fract_y
_atom_site_fract_z
_atom_site_occupancy
Nb1 Nb 0.082 0.247 0.325 1
Co1 Co 0.221 0.000 0.884 1
B1 B 0.036 0.500 0.895 1
B2 B 0.088 0.000 0.104 1
B3 B 0.138 0.500 0.544 1
B4 B 0.139 0.000 0.556 1
B5 B 0.223 0.312 0.895 1
```